[1]
Material: SmPaNi
Method: DFT, PBE
State: optimized geometry

abc: 4.676 4.676 4.676
angles: 60.00 60.00 60.00
Positions (direct):
Sm  0.750  0.750  0.750
Pa  0.250  0.250  0.250
Ni  0.000  0.000  0.000

Summary:
**Symmetry**: F-43m, No. 216
**Distance to the lowest polymorph of the same formula**: 0 meV/atom
**E_form**: 0.229 eV/atom

=====

[2]
Material: Sr2MgTcN6
Method: DFT, PBE
State: optimized geometry

abc: 5.683 5.700 5.701
angles: 60.32 60.23 60.19
Site moments in Bohr magnetons follow the coordinates.
Positions (direct):
N  0.762  0.253  0.739  0.57
N  0.757  0.735  0.750  0.57
N  0.753  0.745  0.262  0.56
N  0.238  0.747  0.261  0.57
N  0.243  0.265  0.250  0.57
N  0.247  0.255  0.738  0.56
Sr  0.750  0.250  0.250  0.01
Sr  0.250  0.750  0.750  0.01
Mg  0.500  0.000  0.000  0.00
Tc  0.000  0.500  0.500  -0.35

Summary:
**Symmetry**: P-1, No. 2
**Electronic total energy**: -6.3049 eV/atom

=====

[3]
Material: Sm4InCu2Ge4
Method: DFT, PBE
State: optimized geometry

abc: 8.225 8.225 7.289
angles: 108.15 108.15 30.65
Positions (direct):
Cu  0.216  0.216  0.639
Cu  0.784  0.784  0.361
Sm  0.347  0.347  0.066
Sm  0.653  0.653  0.934
Sm  0.590  0.590  0.385
Sm  0.410  0.410  0.615
Ge  0.062  0.062  0.661
Ge  0.201  0.201  0.261
Ge  0.799  0.799  0.739
Ge  0.938  0.938  0.339
In  0.000  0.000  0.000

Summary:
**Symmetry**: C2/m, No. 12
**Electronic total energy**: -5.0145 eV/atom

=====

[4]
Material: BeZnCoAg
Method: DFT, PBE
State: optimized geometry

abc: 4.150 4.150 4.150
angles: 60.00 60.00 60.00
Site moments in Bohr magnetons follow the coordinates.
Positions (direct):
Ag  0.500  0.500  0.500  0.00
Co  0.750  0.750  0.750  0.57
Be  0.250  0.250  0.250  -0.01
Zn  0.000  0.000  0.000  -0.02

Summary:
**Symmetry**: F-43m, No. 216
**Distance to the lowest polymorph of the same formula**: 108 meV/atom

=====

[5]
Material: Lu2Ag
Method: DFT, PBE
State: optimized geometry

abc: 8.756 8.756 8.756
angles: 60.00 60.00 60.00
Site moments in Bohr magnetons follow the coordinates.
Positions (direct):
Lu  0.375  0.375  0.875  0.04
Lu  0.875  0.375  0.375  0.06
Lu  0.375  0.875  0.375  0.05
Lu  0.375  0.375  0.375  0.04
Ag  0.250  0.250  0.250  0.01
Ag  0.500  0.500  0.500  0.01

Summary:
**Symmetry**: Fd-3m, No. 227
**E_form**: 1.423 eV/atom

=====

[6]
Material: NbRePd
Method: DFT, PBE
State: optimized geometry

abc: 4.318 4.318 4.318
angles: 60.00 60.00 60.00
Positions (direct):
Nb  0.250  0.250  0.250
Pd  0.750  0.750  0.750
Re  0.000  0.000  0.000

Summary:
**Symmetry**: F-43m, No. 216
**Distance to the lowest polymorph of the same formula**: 0 meV/atom
**E_form**: 0.683 eV/atom

=====

[7]
Material: Tm2Lu2In5Os2
Method: DFT, PBE
State: optimized geometry

abc: 7.707 3.490 9.645
angles: 90.00 93.89 90.00
Positions (direct):
Tm  0.825  0.500  0.146
Tm  0.175  0.500  0.854
In  0.551  0.000  0.328
In  0.825  0.000  0.845
In  0.500  0.000  0.000
In  0.175  0.000  0.155
In  0.449  0.000  0.672
Os  0.927  0.000  0.358
Os  0.073  0.000  0.642
Lu  0.212  0.500  0.445
Lu  0.788  0.500  0.555

Summary:
**Symmetry**: P2/m, No. 10
**Electronic total energy**: -5.2433 eV/atom

=====

[8]
Material: LaPmS2
Method: DFT, PBE
State: optimized geometry

abc: 4.088 4.088 7.077
angles: 106.86 106.86 60.14
Positions (direct):
La  0.500  0.500  0.500
S  0.253  0.253  0.758
S  0.747  0.747  0.242
Pm  0.000  0.000  0.000

Summary:
**Symmetry**: C2/m, No. 12
**Distance to the lowest polymorph of the same formula**: 0 meV/atom

=====

[9]
Material: GdSi2NiIr
Method: DFT, PBE
State: optimized geometry

abc: 5.719 5.719 5.719
angles: 139.03 139.03 59.33
Positions (direct):
Si  0.379  0.379  0.000
Si  0.621  0.621  0.000
Ni  0.750  0.250  0.500
Ir  0.250  0.750  0.500
Gd  0.000  0.000  0.000

Summary:
**Symmetry**: I-4m2, No. 119
**Electronic total energy**: -6.9193 eV/atom

=====

[10]
Material: ThAl3
Method: DFT, PBE
State: optimized geometry

abc: 4.929 4.929 4.929
angles: 60.00 60.00 60.00
Positions (direct):
Al  0.500  0.500  0.500
Al  0.000  0.000  0.000
Al  0.250  0.250  0.250
Th  0.750  0.750  0.750

Summary:
**Symmetry**: Fm-3m, No. 225
**Electronic total energy**: -4.7050 eV/atom

=====

[11]
Material: YScCd2Ag4
Method: DFT, PBE
State: optimized geometry

abc: 4.950 6.620 5.015
angles: 90.00 90.00 90.00
Positions (direct):
Ag  0.000  0.237  0.189
Ag  0.500  0.234  0.806
Ag  0.500  0.766  0.806
Ag  0.000  0.763  0.189
Sc  0.000  0.000  0.688
Cd  0.500  0.000  0.301
Cd  0.000  0.500  0.719
Y  0.500  0.500  0.302

Summary:
**Symmetry**: Pmm2, No. 25
**E_form**: -0.280 eV/atom

=====

[12]
Material: TmAgGeTe2S
Method: DFT, PBE
State: optimized geometry

abc: 7.587 7.587 9.904
angles: 90.00 90.00 147.71
Positions (direct):
Te  0.154  0.846  0.553
Te  0.154  0.846  0.947
Te  0.846  0.154  0.053
Te  0.846  0.154  0.447
Ag  0.985  0.015  0.250
Ag  0.015  0.985  0.750
Ge  0.736  0.264  0.750
Ge  0.264  0.736  0.250
Tm  0.500  0.500  0.500
Tm  0.500  0.500  0.000
S  0.579  0.421  0.250
S  0.421  0.579  0.750

Summary:
**Symmetry**: Cmcm, No. 63
**Electronic total energy**: -4.3028 eV/atom